Record 1
Compound: Dy8CoAu2
Source: Alexandria
Functional: GGA-PBE
Structure: optimized geometry

POSCAR file:
```
Dy8CoAu2
1.0
8.637 -2.557 0.000
8.637 2.557 0.000
-1.732 0.000 6.511
Dy Co Au
8 1 2
Cartesian
-0.014 0.000 1.877 Dy
2.103 0.000 5.294 Dy
5.010 0.000 3.465 Dy
7.001 0.000 0.428 Dy
8.541 0.000 6.083 Dy
10.531 0.000 3.046 Dy
13.438 0.000 1.216 Dy
15.555 0.000 4.634 Dy
7.771 0.000 3.255 Co
2.868 0.000 1.483 Au
12.673 0.000 5.028 Au
```

Summary:
Energy   -4.936 eV per atom
Calculated formation energy   -0.347 eV/atom
Space-group type   No. 12

=====

Record 2
Compound: Dy2Co2Au
Source: Alexandria
Functional: GGA-PBE
Structure: optimized geometry

POSCAR file:
```
Dy2Co2Au
1.0
1.875 -6.683 0.000
1.875 6.683 0.000
0.000 0.000 3.823
Dy Co Au
2 2 1
Cartesian
1.875 4.905 0.000 Dy
1.875 -4.905 0.000 Dy
1.875 2.730 1.912 Co
1.875 -2.730 1.912 Co
1.875 0.000 1.912 Au
```

Summary:
Energy   -5.781 eV per atom
Calculated formation energy   -0.442 eV/atom
Space-group type   No. 65

=====

Record 3
Compound: DyCoAu
Source: Alexandria
Functional: GGA-PBE
Structure: optimized geometry

POSCAR file:
```
DyCoAu
1.0
6.172 -1.971 0.000
6.172 1.971 0.000
-0.982 0.000 4.784
Dy Co Au
2 2 2
Cartesian
1.169 0.000 1.528 Dy
10.192 0.000 3.256 Dy
1.959 0.000 4.265 Co
9.403 0.000 0.520 Co
4.981 0.000 1.094 Au
6.381 0.000 3.690 Au
```

Summary:
Energy   -5.431 eV per atom
Calculated formation energy   -0.436 eV/atom
Space-group type   No. 12

=====

Record 4
Compound: Dy5Co2Au
Source: Alexandria
Functional: GGA-PBE
Structure: optimized geometry

POSCAR file:
```
Dy5Co2Au
1.0
-3.740 3.740 6.630
3.740 -3.740 6.630
3.740 3.740 -6.630
Dy Co Au
10 4 2
Cartesian
0.000 0.000 0.000 Dy
4.970 1.230 -1.794 Dy
1.230 2.510 -1.794 Dy
4.970 1.230 1.794 Dy
1.230 2.510 1.794 Dy
0.000 0.000 6.630 Dy
2.510 1.230 4.836 Dy
-1.230 2.510 4.836 Dy
2.510 1.230 8.424 Dy
-1.230 2.510 8.424 Dy
2.764 0.977 0.000 Co
2.764 -0.977 6.630 Co
0.977 4.717 0.000 Co
0.977 2.764 6.630 Co
0.000 0.000 3.315 Au
0.000 0.000 9.945 Au
```

Summary:
Energy   -5.438 eV per atom
Calculated formation energy   -0.375 eV/atom
Space-group type   No. 140

=====

Record 5
Compound: DyErCoAu
Source: Alexandria
Functional: GGA-PBE
Structure: optimized geometry

POSCAR file:
```
DyErCoAu
1.0
0.000 3.470 3.470
3.470 0.000 3.470
3.470 3.470 0.000
Dy Er Co Au
1 1 1 1
Cartesian
0.000 0.000 0.000 Dy
3.470 3.470 3.470 Er
5.205 5.205 5.205 Co
1.735 1.735 1.735 Au
```

Summary:
Energy   -5.346 eV per atom
Calculated formation energy   -0.459 eV/atom
Space-group type   No. 216

=====

Record 6
Compound: DyGa3CoAu
Source: Alexandria
Functional: GGA-PBE
Structure: optimized geometry

POSCAR file:
```
DyGa3CoAu
1.0
3.038 -6.179 0.000
3.038 6.179 0.000
0.000 0.000 5.774
Dy Ga Co Au
2 6 2 2
Cartesian
3.038 3.309 4.330 Dy
3.038 -3.309 1.443 Dy
1.268 0.000 0.000 Ga
1.268 0.000 2.887 Ga
3.038 1.664 1.443 Ga
3.038 -1.664 4.330 Ga
4.808 0.000 0.000 Ga
4.808 0.000 2.887 Ga
3.038 0.755 4.330 Co
3.038 -0.755 1.443 Co
3.038 4.205 1.443 Au
3.038 -4.205 4.330 Au
```

Summary:
Energy   -4.326 eV per atom
Calculated formation energy   -0.315 eV/atom
Space-group type   No. 63